A geometry-optimized Ba2NiBr structure. Source: Alexandria via LeMat-Bulk, functional PBE-GGA.

The space group is Amm2 (No. 38) and the conventional cell measures 5.029, 4.271 and 12.942 Å, with angles of 90.00, 90.00 and 90.00 degrees. Symmetry generates all atoms from Ba at (0.000, 0.000, 0.000), Ba at (0.500, 0.000, 0.269), Ni at (0.000, 0.000, 0.779) and Br at (0.500, 0.000, 0.536).

The calculated volume comes out at 34.75 A^3/atom.

=====

A geometry-optimized BaNi3Br structure. Source: Alexandria via LeMat-Bulk, functional PBE-GGA.

The space group is Pm-3m (No. 221) and the conventional cell measures 5.052, 5.052 and 5.052 Å, with angles of 90.00, 90.00 and 90.00 degrees. Symmetry generates all atoms from Ba at (0.000, 0.000, 0.000), Ni at (0.000, 0.000, 0.500) and Br at (0.500, 0.500, 0.500).

The calculated volume comes out at 25.79 A^3/atom.

=====

A geometry-optimized BaNiBr structure. Source: Alexandria via LeMat-Bulk, functional PBE-GGA.

The space group is I4mm (No. 107) and the conventional cell measures 4.436, 4.436 and 9.632 Å, with angles of 90.00, 90.00 and 90.00 degrees. Symmetry generates all atoms from Ba at (0.000, 0.000, 0.000), Ni at (0.000, 0.000, 0.408) and Br at (0.000, 0.000, 0.653).

The calculated volume comes out at 31.59 A^3/atom.

=====

A geometry-optimized Ba2NiBr6 structure. Source: Alexandria via LeMat-Bulk, functional PBE-GGA.

The space group is P4_2/mnm (No. 136) and the conventional cell measures 7.040, 7.040 and 13.713 Å, with angles of 90.00, 90.00 and 90.00 degrees. Symmetry generates all atoms from Ba at (0.000, 0.000, 0.166), Ni at (0.000, 0.000, 0.500), Br at (0.179, 0.179, 0.363) and Br at (0.235, 0.235, 0.000).

The calculated volume comes out at 37.76 A^3/atom.

=====

A geometry-optimized Ba2NiPBr structure. Source: Alexandria via LeMat-Bulk, functional PBE-GGA.

The space group is P4/mmm (No. 123) and the conventional cell measures 6.042, 6.042 and 4.218 Å, with angles of 90.00, 90.00 and 90.00 degrees. Symmetry generates all atoms from Ba at (0.000, 0.500, 0.000), Ni at (0.000, 0.000, 0.000), P at (0.000, 0.000, 0.500) and Br at (0.500, 0.500, 0.500).

The calculated volume comes out at 30.79 A^3/atom.

=====

A geometry-optimized BaNiS2Br structure. Source: Alexandria via LeMat-Bulk, functional PBE-GGA.

The space group is P4/mmm (No. 123) and the conventional cell measures 5.428, 5.428 and 4.343 Å, with angles of 90.00, 90.00 and 90.00 degrees. Symmetry generates all atoms from Ba at (0.000, 0.000, 0.000), Ni at (0.500, 0.500, 0.000), S at (0.000, 0.500, 0.500) and Br at (0.500, 0.500, 0.500).

The calculated volume comes out at 25.60 A^3/atom.

=====

A geometry-optimized BaNiSe2Br structure. Source: Alexandria via LeMat-Bulk, functional PBE-GGA.

The space group is P4/mmm (No. 123) and the conventional cell measures 4.884, 4.884 and 5.183 Å, with angles of 90.00, 90.00 and 90.00 degrees. Symmetry generates all atoms from Ba at (0.000, 0.000, 0.000), Ni at (0.500, 0.500, 0.500), Se at (0.000, 0.500, 0.500) and Br at (0.500, 0.500, 0.000).

The calculated volume comes out at 24.72 A^3/atom.

=====

A geometry-optimized BaNiSeBr2 structure. Source: Alexandria via LeMat-Bulk, functional PBE-GGA.

The space group is P4/mmm (No. 123) and the conventional cell measures 5.021, 5.021 and 5.073 Å, with angles of 90.00, 90.00 and 90.00 degrees. Symmetry generates all atoms from Ba at (0.000, 0.000, 0.000), Ni at (0.500, 0.500, 0.500), Se at (0.500, 0.500, 0.000) and Br at (0.000, 0.500, 0.500).

The calculated volume comes out at 25.58 A^3/atom.

=====

Number 1: formation energy (no corrections) -58 kJ per mole of atoms. Number 2: formation energy (no corrections) 158 kJ per mole of atoms. Number 3: formation energy (no corrections) -34 kJ per mole of atoms. Number 4: formation energy (no corrections) -140 kJ per mole of atoms. Number 5: formation energy (no corrections) -99 kJ per mole of atoms. Number 6: formation energy (no corrections) -17 kJ per mole of atoms. Number 7: formation energy (no corrections) -88 kJ per mole of atoms. Number 8: formation energy (no corrections) -102 kJ per mole of atoms.